Record 1
Ac2LaPrSb4 PBE optimized geometry; formation energy from raw total energies = -1.22 eV/atom; crystal system = monoclinic
1.0
4.699 0.000 0.000
0.000 8.137 -0.165
0.000 2.862 7.614
La Sb Ac Pr
1 4 2 1
direct
0.500 0.500 0.000
0.000 0.739 0.753
0.500 0.738 0.255
0.500 0.262 0.745
0.000 0.261 0.247
0.500 0.000 0.500
0.000 0.000 0.000
0.000 0.500 0.500

Record 2
CuAg2NO PBE optimized geometry; formation energy from raw total energies = 1.00 eV/atom; crystal system = tetragonal
1.0
-1.473 4.605 1.127
-3.069 -1.182 0.818
1.504 -0.665 4.684
N Ag O Cu
1 2 1 1
direct
0.000 0.500 0.000
0.500 0.000 0.000
0.000 0.000 0.500
0.500 0.500 0.500
0.000 0.000 0.000

Record 3
Pm2USiRu6 PBE optimized geometry; formation energy from raw total energies = 0.22 eV/atom; crystal system = cubic
1.0
-4.718 -2.244 4.002
0.784 -6.050 -2.468
1.230 -5.061 4.023
Pm U Ru Si
2 1 6 1
direct
0.750 0.250 0.500
0.250 0.750 0.500
0.500 0.500 0.000
0.759 0.759 0.483
0.241 0.241 0.517
0.759 0.241 0.000
0.759 0.759 0.000
0.241 0.241 0.000
0.241 0.759 0.000
0.000 0.000 0.000

Record 4
Cd2CuAu6 PBE optimized geometry; calculated formation energy = -0.09 eV/atom; crystal system = tetragonal
1.0
-2.805 2.998 -0.674
-6.524 -5.877 1.012
-0.223 1.740 8.663
Au Cu Cd
12 2 4
direct
0.500 0.848 0.348
0.500 0.503 0.328
0.000 0.672 0.503
0.500 0.497 0.672
0.500 0.828 0.003
0.500 0.172 0.997
0.000 0.003 0.172
0.000 0.348 0.152
0.000 0.652 0.848
0.000 0.997 0.828
0.000 0.328 0.497
0.500 0.152 0.652
0.000 0.000 0.500
0.500 0.500 0.000
0.000 0.672 0.172
0.500 0.828 0.672
0.000 0.328 0.828
0.500 0.172 0.328

Record 5
HfMgMo4 PBE optimized geometry; calculated formation energy = 0.12 eV/atom; crystal system = cubic
1.0
-2.849 -2.063 -4.016
2.247 -3.504 -3.342
-1.469 -5.131 0.129
Mg Hf Mo
1 1 4
direct
0.000 0.000 0.000
0.250 0.250 0.250
0.626 0.626 0.123
0.626 0.626 0.626
0.123 0.626 0.626
0.626 0.123 0.626

Record 6
InGa2Ag5 PBE optimized geometry; calculated formation energy = 0.01 eV/atom; crystal system = orthorhombic
1.0
-0.940 2.867 0.115
-6.975 -0.619 -1.912
-3.700 0.127 6.243
Ag In Ga
5 1 2
direct
0.368 0.870 0.395
0.000 0.500 0.500
0.368 0.395 0.870
0.632 0.605 0.130
0.632 0.130 0.605
0.000 0.000 0.000
0.757 0.743 0.743
0.243 0.257 0.257

Record 7
Pm8SiPt2 PBE optimized geometry; formation energy from raw total energies = -0.46 eV/atom; crystal system = monoclinic
1.0
-3.710 4.809 1.871
-5.162 -4.470 -3.671
2.187 -2.893 6.852
Pm Pt Si
8 2 1
direct
0.978 0.786 0.214
0.363 0.658 0.923
0.978 0.214 0.786
0.363 0.923 0.658
0.806 0.653 0.653
0.177 0.365 0.365
0.584 0.080 0.340
0.584 0.340 0.080
0.492 0.688 0.320
0.492 0.320 0.688
0.181 0.007 0.007

Record 8
ZrAlCu PBE optimized geometry; calculated formation energy = -0.25 eV/atom; crystal system = monoclinic
1.0
-0.701 3.970 1.078
-0.495 -1.573 3.997
5.100 2.688 1.492
Zr Al Cu
2 2 2
direct
0.238 0.865 0.068
0.733 0.365 0.077
0.418 0.365 0.707
0.553 0.865 0.438
0.919 0.867 0.706
0.052 0.367 0.439

Number 1: DOS at the Fermi energy 0.81 states/eV per cell, magnetization 0.00 μB per cell. Number 2: DOS at the Fermi energy 2.90 states/eV per cell, magnetization 1.39 μB per cell. Number 3: DOS at the Fermi energy 14.31 states/eV per cell, magnetization 0.00 μB per cell. Number 4: DOS at the Fermi energy 3.35 states/eV per cell, magnetization 0.00 μB per cell. Number 5: DOS at the Fermi energy 6.86 states/eV per cell, magnetization 0.00 μB per cell. Number 6: DOS at the Fermi energy 1.97 states/eV per cell, magnetization 0.00 μB per cell. Number 7: DOS at the Fermi energy 12.23 states/eV per cell, magnetization 0.00 μB per cell. Number 8: DOS at the Fermi energy 3.24 states/eV per cell, magnetization 0.00 μB per cell.